A plane-wave DFT calculation with PBE was carried out for crystalline Ac3Pr3Ge4 at its relaxed geometry.

Cell and atoms, written as CIF:
```
data_Ac3Pr3Ge4
_chemical_formula_sum 'Ac3 Pr3 Ge4'
_cell_length_a 4.545
_cell_length_b 8.222
_cell_length_c 8.222
_cell_angle_alpha 85.81
_cell_angle_beta 90.00
_cell_angle_gamma 90.00
_space_group_name_H-M_alt 'P 1'
_space_group_IT_number 1
_space_group_name_Hall 'P 1'
loop_
_atom_site_label
_atom_site_type_symbol
_atom_site_fract_x
_atom_site_fract_y
_atom_site_fract_z
Ac1 Ac 0.000 0.000 0.000
Ac2 Ac 0.000 0.495 0.829
Ac3 Ac 0.000 0.829 0.495
Pr1 Pr 0.000 0.334 0.334
Pr2 Pr 0.500 0.163 0.661
Pr3 Pr 0.500 0.661 0.163
Ge1 Ge 0.500 0.055 0.290
Ge2 Ge 0.500 0.290 0.055
Ge3 Ge 0.500 0.520 0.520
Ge4 Ge 0.500 0.801 0.801
```

* total moment: 0.0000 μB/atom
* crystal system: orthorhombic
* ΔH_f (0 K): -0.6781 eV per atom
* final energy: -5.191 eV per atom